Compound: CaMgRe2
Source: Alexandria
Functional: PBE
Structure: optimized geometry

abc: 6.110 6.110 6.110
angles: 100.10 100.10 130.48
Atoms (fractional coordinates):
Ca 0.000 0.000 0.000
Ca 0.750 0.250 0.500
Mg 0.250 0.750 0.500
Mg 0.500 0.500 0.000
Re 0.159 0.625 0.034
Re 0.375 0.409 0.534
Re 0.591 0.125 0.966
Re 0.875 0.841 0.466

Computed properties:
The space group is I-42d (122). For the formation energy, the calculation gives 5.0 eV/f.u.


Compound: P2Pt2Pb
Source: Alexandria
Functional: PBE
Structure: optimized geometry

abc: 5.681 5.681 5.681
angles: 134.36 134.36 66.52
Atoms (fractional coordinates):
P 0.128 0.128 0.000
P 0.872 0.872 0.000
Pt 0.250 0.750 0.500
Pt 0.750 0.250 0.500
Pb 0.500 0.500 0.000

Computed properties:
The space group is I4/mmm (139). For the formation energy, the calculation gives -0.9 eV/f.u.


Compound: CaAcTl4
Source: Alexandria
Functional: PBE
Structure: optimized geometry

abc: 6.436 6.436 6.436
angles: 60.00 60.00 60.00
Atoms (fractional coordinates):
Ca 0.000 0.000 0.000
Ac 0.250 0.250 0.250
Tl 0.126 0.625 0.625
Tl 0.625 0.126 0.625
Tl 0.625 0.625 0.126
Tl 0.625 0.625 0.625

Computed properties:
The space group is F-43m (216). For the formation energy, the calculation gives -1.1 eV/f.u.


Compound: UBeP
Source: Alexandria
Functional: PBE
Structure: optimized geometry

abc: 3.616 3.616 4.109
angles: 90.00 90.00 120.00
Atoms (fractional coordinates):
U 0.000 0.000 0.000
Be 0.333 0.667 0.500
P 0.667 0.333 0.500

Computed properties:
The space group is P-6m2 (187). For the formation energy, the calculation gives -1.8 eV/f.u.


Compound: Cs2NiSnB
Source: Alexandria
Functional: PBE
Structure: optimized geometry

abc: 7.038 7.038 4.096
angles: 90.00 90.00 90.00
Atoms (fractional coordinates):
Cs 0.000 0.500 0.000
Cs 0.500 0.000 0.000
Ni 0.000 0.000 0.500
Sn 0.500 0.500 0.500
B 0.500 0.500 0.000

Computed properties:
The space group is P4/mmm (123). For the formation energy, the calculation gives 4.5 eV/f.u.


Compound: Cr2Si2Rh
Source: Alexandria
Functional: PBE
Structure: optimized geometry

abc: 6.175 6.175 3.319
angles: 90.00 90.00 90.00
Atoms (fractional coordinates):
Cr 0.164 0.336 0.000
Cr 0.336 0.836 0.000
Cr 0.664 0.164 0.000
Cr 0.836 0.664 0.000
Si 0.135 0.635 0.500
Si 0.365 0.135 0.500
Si 0.635 0.865 0.500
Si 0.865 0.365 0.500
Rh 0.000 0.000 0.500
Rh 0.500 0.500 0.500

Computed properties:
The space group is P4/mbm (127). The calculation puts the uncorrected formation energy at -0.26 eV per atom.


Compound: Cs2K5NaHg2
Source: Alexandria
Functional: PBE
Structure: optimized geometry

abc: 14.746 14.746 5.359
angles: 90.00 90.00 90.00
Atoms (fractional coordinates):
Cs 0.172 0.328 0.000
Cs 0.328 0.828 0.000
Cs 0.672 0.172 0.000
Cs 0.828 0.672 0.000
K 0.000 0.500 0.500
K 0.070 0.790 0.500
K 0.210 0.070 0.500
K 0.290 0.570 0.500
K 0.430 0.290 0.500
K 0.500 0.000 0.500
K 0.570 0.710 0.500
K 0.710 0.430 0.500
K 0.790 0.930 0.500
K 0.930 0.210 0.500
Na 0.000 0.000 0.000
Na 0.500 0.500 0.000
Hg 0.125 0.625 0.000
Hg 0.375 0.125 0.000
Hg 0.625 0.875 0.000
Hg 0.875 0.375 0.000

Computed properties:
The space group is P4/mbm (127). For the formation energy, the calculation gives -0.9 eV/f.u.


Compound: Ba8SiAu2
Source: Alexandria
Functional: PBE
Structure: optimized geometry

abc: 8.785 8.785 7.657
angles: 100.69 100.69 110.32
Atoms (fractional coordinates):
Ba 0.000 0.000 0.000
Ba 0.008 0.278 0.599
Ba 0.166 0.547 0.200
Ba 0.278 0.008 0.599
Ba 0.423 0.694 0.832
Ba 0.547 0.166 0.200
Ba 0.694 0.423 0.832
Ba 0.709 0.709 0.404
Si 0.335 0.335 0.951
Au 0.030 0.671 0.709
Au 0.671 0.030 0.709

Computed properties:
The space group is Cm (8). The calculation puts the uncorrected formation energy at -0.29 eV per atom.


Compound: ZrAs2Pt
Source: Alexandria
Functional: PBE
Structure: optimized geometry

abc: 4.650 4.650 4.650
angles: 60.00 60.00 60.00
Atoms (fractional coordinates):
Zr 0.000 0.000 0.000
As 0.250 0.250 0.250
As 0.750 0.750 0.750
Pt 0.500 0.500 0.500

Computed properties:
The space group is Fm-3m (225). For the formation energy, the calculation gives -1.7 eV/f.u.


Compound: Sc5Tl2O
Source: Alexandria
Functional: PBE
Structure: optimized geometry

abc: 7.969 6.281 13.236
angles: 90.00 90.00 90.00
Atoms (fractional coordinates):
Sc 0.000 0.000 0.000
Sc 0.000 0.500 0.000
Sc 0.030 0.250 0.204
Sc 0.154 0.504 0.622
Sc 0.154 0.996 0.622
Sc 0.202 0.750 0.399
Sc 0.298 0.250 0.899
Sc 0.346 0.004 0.122
Sc 0.346 0.496 0.122
Sc 0.470 0.750 0.704
Sc 0.500 0.000 0.500
Sc 0.500 0.500 0.500
Sc 0.530 0.250 0.296
Sc 0.654 0.504 0.878
Sc 0.654 0.996 0.878
Sc 0.702 0.750 0.101
Sc 0.798 0.250 0.601
Sc 0.846 0.004 0.378
Sc 0.846 0.496 0.378
Sc 0.970 0.750 0.796
Tl 0.035 0.750 0.201
Tl 0.177 0.250 0.420
Tl 0.323 0.750 0.920
Tl 0.465 0.250 0.701
Tl 0.535 0.750 0.299
Tl 0.677 0.250 0.080
Tl 0.823 0.750 0.580
Tl 0.965 0.250 0.799
O 0.179 0.250 0.054
O 0.321 0.750 0.554
O 0.679 0.250 0.446
O 0.821 0.750 0.946

Computed properties:
The space group is Pnma (62). The calculation puts the uncorrected formation energy at -0.90 eV per atom.


Compound: HoThOsRh
Source: Alexandria
Functional: PBE
Structure: optimized geometry

abc: 4.938 4.938 4.938
angles: 60.00 60.00 60.00
Atoms (fractional coordinates):
Ho 0.000 0.000 0.000
Th 0.500 0.500 0.500
Os 0.250 0.250 0.250
Rh 0.750 0.750 0.750

Computed properties:
The space group is F-43m (216). For the formation energy, the calculation gives -2.2 eV/f.u.


Compound: ZrTe2P
Source: Alexandria
Functional: PBE
Structure: optimized geometry

abc: 4.285 5.045 5.340
angles: 90.00 110.44 90.00
Atoms (fractional coordinates):
Zr 0.000 0.000 0.000
Te 0.297 0.500 0.800
Te 0.654 0.000 0.410
P 0.926 0.500 0.093

Computed properties:
The space group is Pm (6). The calculation puts the uncorrected formation energy at -0.35 eV per atom.


Compound: Sc2SbTe
Source: Alexandria
Functional: PBE
Structure: optimized geometry

abc: 9.502 9.502 9.502
angles: 23.24 23.24 23.24
Atoms (fractional coordinates):
Sc 0.101 0.101 0.101
Sc 0.899 0.899 0.899
Sb 0.000 0.000 0.000
Te 0.500 0.500 0.500

Computed properties:
The space group is R-3m (166). The calculation puts the uncorrected formation energy at -0.37 eV per atom.


Compound: LaAlFe2
Source: Alexandria
Functional: PBE
Structure: optimized geometry

abc: 5.958 5.958 5.958
angles: 39.47 39.47 39.47
Atoms (fractional coordinates):
La 0.000 0.000 0.000
Al 0.192 0.192 0.192
Fe 0.473 0.473 0.473
Fe 0.795 0.795 0.795

Computed properties:
The space group is R3m (160). For the formation energy, the calculation gives -0.6 eV/f.u.


Compound: LiTbCePr
Source: Alexandria
Functional: PBE
Structure: optimized geometry

abc: 5.488 5.488 5.488
angles: 60.00 60.00 60.00
Atoms (fractional coordinates):
Li 0.000 0.000 0.000
Tb 0.250 0.250 0.250
Ce 0.500 0.500 0.500
Pr 0.750 0.750 0.750

Computed properties:
The space group is F-43m (216). For the formation energy, the calculation gives 1.1 eV/f.u.


Compound: As3Cl2
Source: Alexandria
Functional: PBE
Structure: optimized geometry

abc: 11.770 11.770 11.770
angles: 18.98 18.98 18.98
Atoms (fractional coordinates):
As 0.000 0.000 0.000
As 0.186 0.186 0.186
As 0.814 0.814 0.814
Cl 0.372 0.372 0.372
Cl 0.628 0.628 0.628

Computed properties:
The space group is R-3m (166). The calculation puts the uncorrected formation energy at 0.00 eV per atom.


Compound: BaCd2Au9
Source: Alexandria
Functional: PBE
Structure: optimized geometry

abc: 9.580 9.580 9.580
angles: 35.07 35.07 35.07
Atoms (fractional coordinates):
Ba 0.000 0.000 0.000
Cd 0.147 0.147 0.147
Cd 0.853 0.853 0.853
Au 0.080 0.590 0.590
Au 0.334 0.334 0.334
Au 0.410 0.410 0.920
Au 0.410 0.920 0.410
Au 0.500 0.500 0.500
Au 0.590 0.080 0.590
Au 0.590 0.590 0.080
Au 0.666 0.666 0.666
Au 0.920 0.410 0.410

Computed properties:
The space group is R-3m (166). For the formation energy, the calculation gives -3.1 eV/f.u.


Compound: CsNdZrS4
Source: Alexandria
Functional: PBE
Structure: optimized geometry

abc: 7.107 7.115 9.727
angles: 90.00 109.04 90.00
Atoms (fractional coordinates):
Cs 0.224 0.250 0.443
Cs 0.776 0.750 0.557
Nd 0.297 0.250 0.952
Nd 0.703 0.750 0.048
Zr 0.251 0.750 0.159
Zr 0.749 0.250 0.841
S 0.021 0.750 0.920
S 0.045 0.750 0.312
S 0.495 0.002 0.188
S 0.495 0.498 0.188
S 0.505 0.502 0.812
S 0.505 0.998 0.812
S 0.955 0.250 0.688
S 0.979 0.250 0.080

Computed properties:
The space group is P2_1/m (11). The calculation puts the uncorrected formation energy at -1.65 eV per atom.


Compound: ScHg2Mo
Source: Alexandria
Functional: PBE
Structure: optimized geometry

abc: 4.306 4.306 4.176
angles: 90.00 90.00 90.00
Atoms (fractional coordinates):
Sc 0.000 0.000 0.000
Hg 0.000 0.500 0.500
Hg 0.500 0.000 0.500
Mo 0.500 0.500 0.000

Computed properties:
The space group is P4/mmm (123). For the formation energy, the calculation gives 0.5 eV/f.u.


Compound: Pd3RhCl
Source: Alexandria
Functional: PBE
Structure: optimized geometry

abc: 4.481 4.481 4.481
angles: 90.00 90.00 90.00
Atoms (fractional coordinates):
Pd 0.000 0.000 0.500
Pd 0.000 0.500 0.000
Pd 0.500 0.000 0.000
Rh 0.500 0.500 0.500
Cl 0.000 0.000 0.000

Computed properties:
The space group is Pm-3m (221). The calculation puts the uncorrected formation energy at 0.74 eV per atom.


Compound: SrIn2Pt
Source: Alexandria
Functional: PBE
Structure: optimized geometry

abc: 4.426 4.426 5.054
angles: 90.00 90.00 90.00
Atoms (fractional coordinates):
Sr 0.000 0.000 0.000
In 0.000 0.500 0.500
In 0.500 0.000 0.500
Pt 0.500 0.500 0.000

Computed properties:
The space group is P4/mmm (123). For the formation energy, the calculation gives -1.4 eV/f.u.


Compound: LaY2MgHg
Source: Alexandria
Functional: PBE
Structure: optimized geometry

abc: 5.707 5.707 5.894
angles: 90.00 90.00 90.00
Atoms (fractional coordinates):
La 0.000 0.000 0.000
Y 0.000 0.500 0.500
Y 0.500 0.000 0.500
Mg 0.500 0.500 0.000
Hg 0.000 0.000 0.500

Computed properties:
The space group is P4/mmm (123). For the formation energy, the calculation gives 1.3 eV/f.u.


Compound: Pm2SmH6
Source: Alexandria
Functional: PBE
Structure: optimized geometry

abc: 8.525 8.525 8.525
angles: 154.13 154.13 36.91
Atoms (fractional coordinates):
Pm 0.166 0.166 0.000
Pm 0.834 0.834 0.000
Sm 0.500 0.500 0.000
H 0.082 0.582 0.500
H 0.250 0.750 0.500
H 0.418 0.918 0.500
H 0.582 0.082 0.500
H 0.750 0.250 0.500
H 0.918 0.418 0.500

Computed properties:
The space group is I4/mmm (139).


Compound: InSiH
Source: Alexandria
Functional: PBE
Structure: optimized geometry

abc: 3.763 3.763 11.217
angles: 90.54 90.54 59.38
Atoms (fractional coordinates):
In 0.167 0.167 0.229
In 0.833 0.833 0.771
Si 0.166 0.164 0.955
Si 0.836 0.834 0.045
H 0.472 0.524 0.466
H 0.476 0.528 0.534

Computed properties:
The space group is C2 (5).


Number 1: VASP energy -5.883 eV/atom, M_tot 0.0 μB per formula unit, ρ 9.21 g/cm³. Number 2: VASP energy -5.494 eV/atom, M_tot 0.0 μB per formula unit, ρ 11.87 g/cm³. Number 3: VASP energy -2.784 eV/atom, M_tot 0.0 μB per formula unit, ρ 9.56 g/cm³. Number 4: VASP energy -7.422 eV/atom, M_tot 1.8 μB per formula unit, ρ 9.92 g/cm³. Number 5: VASP energy -2.733 eV/atom, M_tot 1.0 μB per formula unit, ρ 3.72 g/cm³. Number 6: VASP energy -7.745 eV/atom, M_tot 0.0 μB per formula unit, ρ 6.90 g/cm³. Number 7: VASP energy -1.001 eV/atom, M_tot 0.0 μB per formula unit, ρ 2.52 g/cm³. Number 8: VASP energy -2.772 eV/atom, M_tot 0.0 μB per formula unit, ρ 4.82 g/cm³. Number 9: VASP energy -6.389 eV/atom, M_tot 0.0 μB per formula unit, ρ 10.19 g/cm³. Number 10: VASP energy -6.067 eV/atom, M_tot 0.5 μB per formula unit, ρ 6.51 g/cm³. Number 11: VASP energy -8.184 eV/atom, M_tot 0.0 μB per formula unit, ρ 13.46 g/cm³. Number 12: VASP energy -5.415 eV/atom, M_tot 0.0 μB per formula unit, ρ 5.79 g/cm³. Number 13: VASP energy -5.349 eV/atom, M_tot 0.6 μB per formula unit, ρ 4.80 g/cm³. Number 14: VASP energy -6.541 eV/atom, M_tot 2.2 μB per formula unit, ρ 5.99 g/cm³. Number 15: VASP energy -4.032 eV/atom, M_tot 2.6 μB per formula unit, ρ 6.35 g/cm³. Number 16: VASP energy -3.533 eV/atom, M_tot 0.0 μB per formula unit, ρ 3.26 g/cm³. Number 17: VASP energy -3.026 eV/atom, M_tot 0.0 μB per formula unit, ρ 13.67 g/cm³. Number 18: VASP energy -6.028 eV/atom, M_tot 0.0 μB per formula unit, ρ 3.55 g/cm³. Number 19: VASP energy -4.320 eV/atom, M_tot 0.0 μB per formula unit, ρ 11.63 g/cm³. Number 20: VASP energy -4.216 eV/atom, M_tot 1.7 μB per formula unit, ρ 8.45 g/cm³. Number 21: VASP energy -3.653 eV/atom, M_tot 0.0 μB per formula unit, ρ 8.59 g/cm³. Number 22: VASP energy -3.698 eV/atom, M_tot 2.2 μB per formula unit, ρ 4.69 g/cm³. Number 23: VASP energy -4.484 eV/atom, M_tot 0.0 μB per formula unit, ρ 6.29 g/cm³. Number 24: VASP energy -3.664 eV/atom, M_tot 0.0 μB per formula unit, ρ 3.50 g/cm³.